# 1
Below is a geometry-optimized Cs2Ge3Te5 structure, with properties calculated at the PBE-GGA level.

```
data_Cs2Ge3Te5
_chemical_formula_sum 'Cs2 Ge3 Te5'
_symmetry_space_group_name_H-M 'P 1'
_symmetry_Int_Tables_number 1
_symmetry_space_group_name_Hall 'P 1'
_cell_length_a 9.193
_cell_length_b 9.193
_cell_length_c 11.393
_cell_angle_alpha 116.26
_cell_angle_beta 116.26
_cell_angle_gamma 27.84
loop_
_atom_site_label
_atom_site_fract_x
_atom_site_fract_y
_atom_site_fract_z
Cs1 0.183 0.183 0.234
Cs2 0.817 0.817 0.766
Ge1 0.000 0.000 0.500
Ge2 0.458 0.458 0.204
Ge3 0.542 0.542 0.796
Te1 0.133 0.133 0.780
Te2 0.407 0.407 0.559
Te3 0.500 0.500 0.000
Te4 0.593 0.593 0.441
Te5 0.867 0.867 0.220
```

Summary:
* energy above the lowest structure with this stoichiometry: 0 meV per atom
* raw formation energy: -4.29 eV per formula unit
* symmetry: C2/m, No. 12

# 2
Below is a geometry-optimized PuTl2Pd8 structure, with properties calculated at the PBE-GGA level.

```
data_PuTl2Pd8
_chemical_formula_sum 'Pu1 Tl2 Pd8'
_symmetry_space_group_name_H-M 'P 1'
_symmetry_Int_Tables_number 1
_symmetry_space_group_name_Hall 'P 1'
_cell_length_a 4.954
_cell_length_b 6.617
_cell_length_c 6.725
_cell_angle_alpha 108.18
_cell_angle_beta 104.76
_cell_angle_gamma 98.48
loop_
_atom_site_label
_atom_site_fract_x
_atom_site_fract_y
_atom_site_fract_z
Pu1 0.000 0.000 0.000
Tl1 0.104 0.771 0.379
Tl2 0.896 0.229 0.621
Pd1 0.223 0.662 0.764
Pd2 0.266 0.443 0.075
Pd3 0.342 0.281 0.440
Pd4 0.445 0.097 0.791
Pd5 0.555 0.903 0.209
Pd6 0.658 0.719 0.560
Pd7 0.734 0.557 0.925
Pd8 0.777 0.338 0.236
```

Summary:
* energy above the lowest structure with this stoichiometry: 0 meV per atom
* symmetry: P-1, No. 2
* E_form: -2.823 eV per formula unit

# 3
Below is a geometry-optimized ScCd4Pd5 structure, with properties calculated at the PBE-GGA level.

```
data_ScCd4Pd5
_chemical_formula_sum 'Sc1 Cd4 Pd5'
_symmetry_space_group_name_H-M 'P 1'
_symmetry_Int_Tables_number 1
_symmetry_space_group_name_Hall 'P 1'
_cell_length_a 3.309
_cell_length_b 3.309
_cell_length_c 16.092
_cell_angle_alpha 90.00
_cell_angle_beta 90.00
_cell_angle_gamma 90.00
loop_
_atom_site_label
_atom_site_fract_x
_atom_site_fract_y
_atom_site_fract_z
Sc1 0.000 0.000 0.000
Cd1 0.000 0.000 0.201
Cd2 0.000 0.000 0.400
Cd3 0.000 0.000 0.600
Cd4 0.000 0.000 0.799
Pd1 0.500 0.500 0.096
Pd2 0.500 0.500 0.300
Pd3 0.500 0.500 0.500
Pd4 0.500 0.500 0.700
Pd5 0.500 0.500 0.904
```

Summary:
* symmetry: P4/mmm, No. 123
* E_form: -5.241 eV per formula unit

# 4
Below is a geometry-optimized CaLa2Br structure, with properties calculated at the PBE-GGA level.

```
data_CaLa2Br
_chemical_formula_sum 'Ca1 La2 Br1'
_symmetry_space_group_name_H-M 'P 1'
_symmetry_Int_Tables_number 1
_symmetry_space_group_name_Hall 'P 1'
_cell_length_a 10.975
_cell_length_b 10.975
_cell_length_c 10.975
_cell_angle_alpha 20.19
_cell_angle_beta 20.19
_cell_angle_gamma 20.19
loop_
_atom_site_label
_atom_site_fract_x
_atom_site_fract_y
_atom_site_fract_z
Ca1 0.000 0.000 0.000
La1 0.522 0.522 0.522
La2 0.762 0.762 0.762
Br1 0.264 0.264 0.264
```

Summary:
* raw formation energy: -2.56 eV per formula unit
* symmetry: R3m, No. 160

# 5
Below is a geometry-optimized BaY2W structure, with properties calculated at the PBE-GGA level.

```
data_BaY2W
_chemical_formula_sum 'Ba1 Y2 W1'
_symmetry_space_group_name_H-M 'P 1'
_symmetry_Int_Tables_number 1
_symmetry_space_group_name_Hall 'P 1'
_cell_length_a 3.921
_cell_length_b 3.921
_cell_length_c 8.440
_cell_angle_alpha 90.00
_cell_angle_beta 90.00
_cell_angle_gamma 90.00
loop_
_atom_site_label
_atom_site_fract_x
_atom_site_fract_y
_atom_site_fract_z
Ba1 0.000 0.000 0.000
Y1 0.000 0.000 0.401
Y2 0.500 0.500 0.629
W1 0.500 0.500 0.274
```

Summary:
* energy above the lowest structure with this stoichiometry: 202 meV per atom
* symmetry: P4mm, No. 99
* E_form: 2.675 eV per formula unit

# 6
Below is a geometry-optimized CaScRe2 structure, with properties calculated at the PBE-GGA level.

```
data_CaScRe2
_chemical_formula_sum 'Ca1 Sc1 Re2'
_symmetry_space_group_name_H-M 'P 1'
_symmetry_Int_Tables_number 1
_symmetry_space_group_name_Hall 'P 1'
_cell_length_a 2.810
_cell_length_b 2.810
_cell_length_c 9.592
_cell_angle_alpha 90.00
_cell_angle_beta 90.00
_cell_angle_gamma 107.77
loop_
_atom_site_label
_atom_site_fract_x
_atom_site_fract_y
_atom_site_fract_z
Ca1 0.000 0.000 0.000
Sc1 0.000 0.000 0.500
Re1 0.500 0.500 0.264
Re2 0.500 0.500 0.736
```

Summary:
* energy above the lowest structure with this stoichiometry: 320 meV per atom
* symmetry: Cmmm, No. 65
* E_form: 1.777 eV per formula unit

# 7
Below is a geometry-optimized HoZnSn structure, with properties calculated at the PBE-GGA level.

```
data_HoZnSn
_chemical_formula_sum 'Ho1 Zn1 Sn1'
_symmetry_space_group_name_H-M 'P 1'
_symmetry_Int_Tables_number 1
_symmetry_space_group_name_Hall 'P 1'
_cell_length_a 4.660
_cell_length_b 4.660
_cell_length_c 4.660
_cell_angle_alpha 60.00
_cell_angle_beta 60.00
_cell_angle_gamma 60.00
loop_
_atom_site_label
_atom_site_fract_x
_atom_site_fract_y
_atom_site_fract_z
Ho1 0.000 0.000 0.000
Zn1 0.250 0.250 0.250
Sn1 0.500 0.500 0.500
```

Summary:
* symmetry: F-43m, No. 216
* E_form: -1.168 eV per formula unit

# 8
Below is a geometry-optimized LiTl2CuSb2 structure, with properties calculated at the PBE-GGA level.

```
data_LiTl2CuSb2
_chemical_formula_sum 'Li2 Tl4 Cu2 Sb4'
_symmetry_space_group_name_H-M 'P 1'
_symmetry_Int_Tables_number 1
_symmetry_space_group_name_Hall 'P 1'
_cell_length_a 8.857
_cell_length_b 8.857
_cell_length_c 8.857
_cell_angle_alpha 137.82
_cell_angle_beta 60.92
_cell_angle_gamma 138.16
loop_
_atom_site_label
_atom_site_fract_x
_atom_site_fract_y
_atom_site_fract_z
Li1 0.250 0.250 0.000
Li2 0.750 0.750 0.000
Tl1 0.174 0.224 0.398
Tl2 0.326 0.724 0.051
Tl3 0.674 0.276 0.949
Tl4 0.826 0.776 0.602
Cu1 0.250 0.750 0.500
Cu2 0.750 0.250 0.500
Sb1 0.106 0.720 0.826
Sb2 0.394 0.220 0.614
Sb3 0.606 0.780 0.386
Sb4 0.894 0.280 0.174
```

Summary:
* raw formation energy: -0.50 eV per formula unit
* symmetry: Ibam, No. 72

no.,uncorrected energy (eV/atom)
1,-3.556
2,-5.766
3,-4.120
4,-4.022
5,-6.282
6,-7.863
7,-3.674
8,-3.248